This record from the Open Quantum Materials Database describes an optimized crystal structure of BeCoIrPb. The functional is GGA-PBE.

```
BeCoIrPb
1.0
3.3594 -2.2559 1.5694
-0.6945 -3.3623 2.6553
0.7334 -4.0472 -1.3857
Co Be Pb Ir
1 1 1 1
Cartesian
2.5487 -7.2490 2.1292
1.6991 -4.8327 1.4195
0.0000 0.0000 0.0000
0.8496 -2.4163 0.7097
```

Summary:
* space group: No. 216
* ΔE to the lowest computed polymorph: 0.0 kJ/mol of atoms

=====

This record from the Open Quantum Materials Database describes an optimized crystal structure of BeCoSbIr. The functional is GGA-PBE.

```
BeCoSbIr
1.0
0.0000 3.0155 3.0155
3.0155 0.0000 3.0155
3.0155 3.0155 0.0000
Co Sb Be Ir
1 1 1 1
Cartesian
4.5232 4.5232 4.5232
0.0000 0.0000 0.0000
3.0155 3.0155 3.0155
1.5078 1.5078 1.5078
```

Summary:
* space group: No. 216
* ΔE to the lowest computed polymorph: 0.0 kJ/mol of atoms

=====

This record from the Open Quantum Materials Database describes an optimized crystal structure of BeCoSiIr. The functional is GGA-PBE.

```
BeCoSiIr
1.0
-2.4611 -2.5925 -1.6934
2.9261 -2.6549 -0.1882
-1.4323 -1.9364 5.0460
Be Co Ir Si
2 2 2 2
Cartesian
1.1041 -1.8127 1.1705
-2.3039 -2.7473 2.9346
-0.7161 -0.9682 2.5230
0.2325 -2.6237 -0.9408
0.0000 0.0000 0.0000
-0.4836 -3.5919 1.5822
-1.5876 -1.7790 0.4113
0.3879 -2.7810 3.6938
```

Summary:
* space group: No. 115
* ΔE to the lowest computed polymorph: 0.0 kJ/mol of atoms

=====

This record from the Open Quantum Materials Database describes an optimized crystal structure of Be2Co3Si2Ir. The functional is GGA-PBE.

```
Be2Co3Si2Ir
1.0
-0.8181 3.1132 -2.1506
-3.2764 0.5178 1.9960
2.6752 3.1686 3.5692
Co Si Be Ir
3 2 2 1
Cartesian
1.3376 1.5843 1.7846
-2.0473 1.8155 -0.0773
0.0000 0.0000 0.0000
0.2206 2.3024 -0.2353
0.4073 2.6818 3.7272
-1.0045 1.0095 1.8435
1.6324 3.9747 1.6484
-0.7097 3.3999 1.7073
```

Summary:
* space group: No. 115
* VASP energy: -6.66 eV per atom

=====

This record from the Open Quantum Materials Database describes an optimized crystal structure of BeCoSiIr. The functional is GGA-PBE.

```
BeCoSiIr
1.0
0.0000 2.8413 2.8413
2.8413 0.0000 2.8413
2.8413 2.8413 0.0000
Si Be Ir Co
1 1 1 1
Cartesian
0.0000 0.0000 0.0000
1.4207 1.4207 1.4207
2.8413 2.8413 2.8413
4.2620 4.2620 4.2620
```

Summary:
* space group: No. 216
* ΔE to the lowest computed polymorph: 55.1 kJ/mol of atoms

=====

This record from the Open Quantum Materials Database describes an optimized crystal structure of BeCoSiIr. The functional is GGA-PBE.

```
BeCoSiIr
1.0
1.8093 -3.0246 1.7936
-1.8872 -2.0501 2.8061
-1.1728 -3.7090 -0.7119
Si Co Be Ir
1 1 1 1
Cartesian
0.0000 0.0000 0.0000
-0.9380 -6.5878 2.9159
-0.6253 -4.3918 1.9439
-0.3127 -2.1959 0.9720
```

Summary:
* space group: No. 216
* ΔE to the lowest computed polymorph: 0.0 kJ/mol of atoms

=====

This record from the Open Quantum Materials Database describes an optimized crystal structure of KBeCoMo. The functional is GGA-PBE.

```
KBeCoMo
1.0
0.0000 3.1934 3.1934
3.1934 0.0000 3.1934
3.1934 3.1934 0.0000
K Be Mo Co
1 1 1 1
Cartesian
3.1934 3.1934 3.1934
4.7901 4.7900 4.7901
0.0000 0.0000 0.0000
1.5967 1.5967 1.5967
```

Summary:
* space group: No. 216
* ΔE to the lowest computed polymorph: 8.4 kJ/mol of atoms

=====

This record from the Open Quantum Materials Database describes an optimized crystal structure of KBeCoMo. The functional is GGA-PBE.

```
KBeCoMo
1.0
-2.5963 -2.8448 2.2878
-0.2055 0.2535 4.4677
-3.7309 1.4786 1.9903
Be Co K Mo
1 1 1 1
Cartesian
-4.8995 -0.8345 6.5594
-3.2663 -0.5564 4.3729
-1.6332 -0.2782 2.1865
0.0000 0.0000 0.0000
```

Summary:
* space group: No. 216
* ΔE to the lowest computed polymorph: 27.9 kJ/mol of atoms

=====

Number 1: magnetization 0.4 μB per cell. Number 2: magnetization 1.2 μB per cell. Number 3: magnetization 0.1 μB per cell. Number 4: magnetization 0.0 μB per cell. Number 5: magnetization 0.8 μB per cell. Number 6: magnetization 0.1 μB per cell. Number 7: magnetization 0.1 μB per cell. Number 8: magnetization 3.7 μB per cell.